Run one
PmThNiPt | Alexandria | GGA-PBE | optimized geometry; space-group type = No. 216; crystal system = cubic; spin magnetization = 0.00 μB per cell
1.0
0.000 3.558 3.558
3.558 0.000 3.558
3.558 3.558 0.000
Pm Th Ni Pt
1 1 1 1
direct
0.000 0.000 0.000 Pm
0.500 0.500 0.500 Th
0.750 0.750 0.750 Ni
0.250 0.250 0.250 Pt

Run two
PmThNiPt | Alexandria | GGA-PBE | optimized geometry; space-group type = No. 38; crystal system = orthorhombic; spin magnetization = 0.00 μB per cell
1.0
4.406 0.000 0.000
0.000 1.907 5.487
0.000 -1.907 5.487
Pm Th Ni Pt
1 1 1 1
direct
0.000 0.000 0.000 Pm
0.500 0.725 0.725 Th
0.000 0.266 0.266 Ni
0.500 0.441 0.441 Pt

Stability check: which of them is least stable? run one.

Run one
PmTmNiPt | Alexandria | GGA-PBE | optimized geometry; space-group type = No. 216; crystal system = cubic; spin magnetization = 0.00 μB per cell
1.0
0.000 3.472 3.472
3.472 0.000 3.472
3.472 3.472 0.000
Pm Tm Ni Pt
1 1 1 1
direct
0.000 0.000 0.000 Pm
0.500 0.500 0.500 Tm
0.250 0.250 0.250 Ni
0.750 0.750 0.750 Pt

Run two
PmTmNiPt | Alexandria | GGA-PBE | optimized geometry; space-group type = No. 38; crystal system = orthorhombic; spin magnetization = 0.00 μB per cell
1.0
4.416 0.000 0.000
0.000 1.929 5.102
0.000 -1.929 5.102
Pm Tm Ni Pt
1 1 1 1
direct
0.000 0.000 0.000 Pm
0.500 0.281 0.281 Tm
0.000 0.723 0.723 Ni
0.500 0.569 0.569 Pt

Stability check: which of them is least stable? run one.